1.
## NpMnTe3 (PBE)

Data for a geometry-optimized NpMnTe3 structure.

The structure belongs to space group Pbcm (No. 57); the cell edges are 11.694, 7.769 and 6.142 Å and the angles 90.00°, 90.00° and 90.00°. The inequivalent atoms are Np at (0.160, 0.063, 0.250), Mn at (0.424, 0.250, 0.000), Te at (0.046, 0.750, 0.000), Te at (0.253, 0.072, 0.750) and Te at (0.410, 0.573, 0.750).

The calculation puts the energy relative to the elements, uncorrected at -38.77 kJ/mol of atoms. The final energy is -6.709 eV per atom. For the calculated density, the calculation gives 8.03 Mg/m³. As for the calculated volume: 558 Å³ per cell. As for the crystal system: orthorhombic. As for the energy relative to the lowest polymorph listed for this composition: 0.00 kJ/mol of atoms.


2.
## Al4Fe10Re (PBE)

Data for a geometry-optimized Al4Fe10Re structure.

The structure belongs to space group I4/mmm (No. 139); the cell edges are 8.480, 8.480 and 5.557 Å and the angles 90.00°, 90.00° and 90.00°. The inequivalent atoms are Al at (0.235, 0.235, 0.000), Fe at (0.000, 0.217, 0.294), Fe at (0.000, 0.500, 0.250) and Re at (0.000, 0.000, 0.000).

The final energy is -7.260 eV per atom. For the calculated density, the calculation gives 7.08 Mg/m³. As for the calculated volume: 400 Å³ per cell. As for the crystal system: tetragonal. For the energy of formation, the calculation gives 3.1 eV per formula unit.


3.
## Cs4Np3AlS8 (PBE)

Data for a geometry-optimized Cs4Np3AlS8 structure.

The structure belongs to space group C2/m (No. 12); the cell edges are 14.222, 8.179 and 9.284 Å and the angles 90.00°, 120.64° and 90.00°. The inequivalent atoms are Cs at (0.000, 0.000, 0.000), Cs at (0.000, 0.500, 0.000), Cs at (0.250, 0.250, 0.000), Np at (0.000, 0.000, 0.500), Np at (0.250, 0.250, 0.500), Al at (0.000, 0.500, 0.500), S at (0.020, 0.269, 0.329), S at (0.214, 0.500, 0.671) and S at (0.229, 0.000, 0.684).

The calculation puts the energy relative to the elements, uncorrected at -116.14 kJ/mol of atoms. The final energy is -6.141 eV per atom. For the calculated density, the calculation gives 5.45 Mg/m³. As for the calculated volume: 929 Å³ per cell. As for the crystal system: monoclinic.


4.
## Cu2ReI (PBE)

Data for a geometry-optimized Cu2ReI structure.

The structure belongs to space group Fm-3m (No. 225); the cell edges are 6.476, 6.476 and 6.476 Å and the angles 90.00°, 90.00° and 90.00°. The inequivalent atoms are Cu at (0.250, 0.250, 0.250), Re at (0.000, 0.000, 0.000) and I at (0.000, 0.000, 0.500).

The calculation puts the energy relative to the elements, uncorrected at 136.77 kJ/mol of atoms. The final energy is -4.130 eV per atom. For the calculated density, the calculation gives 10.76 Mg/m³. As for the calculated volume: 272 Å³ per cell. As for the crystal system: cubic. As for the energy relative to the lowest polymorph listed for this composition: 19.94 kJ/mol of atoms.


5.
## Ba3Ge5Cl12 (PBE)

Data for a geometry-optimized Ba3Ge5Cl12 structure.

The structure belongs to space group Ia-3d (No. 230); the cell edges are 17.328, 17.328 and 17.328 Å and the angles 90.00°, 90.00° and 90.00°. The inequivalent atoms are Ba at (0.000, 0.250, 0.125), Ge at (0.000, 0.000, 0.000), Ge at (0.000, 0.250, 0.375) and Cl at (0.018, 0.061, 0.648).

The calculation puts the energy relative to the elements, uncorrected at -102.44 kJ/mol of atoms. The final energy is -3.612 eV per atom. For the calculated density, the calculation gives 3.07 Mg/m³. As for the calculated volume: 5203 Å³ per cell. As for the crystal system: cubic.


6.
## Na4Tb3Te8Pb (PBE)

Data for a geometry-optimized Na4Tb3Te8Pb structure.

The structure belongs to space group R-3m (No. 166, hexagonal axes); the cell edges are 8.9359, 8.9359 and 22.7460 Å and the angles 90.00°, 90.00° and 120.00°. The inequivalent atoms are Na at (0.0000, 0.0000, 0.0000), Na at (0.0000, 0.5000, 0.0000), Tb at (0.0000, 0.5000, 0.5000), Te at (0.0000, 0.0000, 0.2443), Te at (0.0086, 0.5043, 0.7550) and Pb at (0.0000, 0.0000, 0.5000).

The calculation puts the energy relative to the elements, uncorrected at -105.88 kJ/mol of atoms. The final energy is -4.098 eV per atom. For the calculated density, the calculation gives 5.69 Mg/m³. As for the calculated volume: 1573 Å³ per cell. As for the crystal system: trigonal.


7.
## Ce2Ga3 (PBE)

Data for a geometry-optimized Ce2Ga3 structure.

The structure belongs to space group Cmcm (No. 63); the cell edges are 4.257, 26.218 and 4.211 Å and the angles 90.00°, 90.00° and 90.00°. The inequivalent atoms are Ce at (0.000, 0.072, 0.250), Ce at (0.000, 0.206, 0.750), Ga at (0.000, 0.328, 0.750), Ga at (0.000, 0.382, 0.250) and Ga at (0.000, 0.476, 0.250).

The final energy is -4.727 eV per atom. For the calculated density, the calculation gives 6.92 Mg/m³. As for the calculated volume: 470 Å³ per cell. As for the crystal system: orthorhombic. For the energy of formation, the calculation gives -2.7 eV per formula unit.


8.
## Rh3SI (PBE)

Data for a geometry-optimized Rh3SI structure.

The structure belongs to space group Pm-3m (No. 221); the cell edges are 4.851, 4.851 and 4.851 Å and the angles 90.00°, 90.00° and 90.00°. The inequivalent atoms are Rh at (0.000, 0.000, 0.500), S at (0.500, 0.500, 0.500) and I at (0.000, 0.000, 0.000).

The calculation puts the energy relative to the elements, uncorrected at 134.91 kJ/mol of atoms. The final energy is -4.148 eV per atom. For the calculated density, the calculation gives 6.80 Mg/m³. As for the calculated volume: 114 Å³ per cell. As for the crystal system: cubic. As for the energy relative to the lowest polymorph listed for this composition: 101.91 kJ/mol of atoms.


Q: Look up the calculated density of the second one.
A: 7.08 Mg/m³